# 1
A geometry-optimized PrHf structure, computed with PBE-GGA.

Cell: 6.690 6.690 6.690 Å, 90.00 90.00 90.00°
Space group F-43m (No. 216)
Symmetry-distinct sites (fractional):
Pr  0.000  0.000  0.000 [4 per cell]
Hf  0.250  0.250  0.250 [4 per cell]

Output
For the formation energy, the calculation gives 410.5 kJ/mol of formula units. The calculation puts the energy relative to the lowest polymorph listed for this composition at 1812.0 meV/atom.

***

# 2
A geometry-optimized PrPuHf structure, computed with PBE-GGA.

Cell: 7.283 7.283 7.283 Å, 90.00 90.00 90.00°
Space group F-43m (No. 216)
Symmetry-distinct sites (fractional):
Pr  0.000  0.000  0.000 [4 per cell]
Pu  0.000  0.000  0.500 [4 per cell]
Hf  0.250  0.250  0.250 [4 per cell]

Output
For the formation energy, the calculation gives 248.4 kJ/mol of formula units. The calculation puts the energy relative to the lowest polymorph listed for this composition at 0.0 meV/atom.

***

# 3
A geometry-optimized RbPrHf structure, computed with PBE-GGA.

Cell: 8.154 8.154 8.154 Å, 90.00 90.00 90.00°
Space group F-43m (No. 216)
Symmetry-distinct sites (fractional):
Rb  0.000  0.000  0.000 [4 per cell]
Pr  0.000  0.000  0.500 [4 per cell]
Hf  0.250  0.250  0.750 [4 per cell]

Output
The calculation puts the energy relative to the lowest polymorph listed for this composition at 0.0 meV/atom.

***

# 4
A geometry-optimized Pr2HfS5 structure, computed with PBE-GGA.

Cell: 11.587 8.062 7.394 Å, 90.00 90.00 90.00°
Space group Pnma (No. 62)
Symmetry-distinct sites (fractional):
Pr  0.175  0.001  0.043 [8 per cell]
Hf  0.008  0.750  0.573 [4 per cell]
S  0.005  0.750  0.941 [4 per cell]
S  0.081  0.035  0.669 [8 per cell]
S  0.186  0.750  0.350 [4 per cell]
S  0.206  0.250  0.329 [4 per cell]

***

# 5
A geometry-optimized PrHfSc2Sb2 structure, computed with PBE-GGA.

Cell: 4.292 4.292 16.266 Å, 90.00 90.00 90.00°
Space group I4mm (No. 107)
Symmetry-distinct sites (fractional):
Pr  0.000  0.000  0.000 [2 per cell]
Hf  0.000  0.000  0.348 [2 per cell]
Sc  0.000  0.500  0.186 [4 per cell]
Sb  0.000  0.000  0.550 [2 per cell]
Sb  0.000  0.000  0.812 [2 per cell]

***

# 6
A geometry-optimized PrSmHf2Sb2 structure, computed with PBE-GGA.

Cell: 4.334 4.334 16.955 Å, 90.00 90.00 90.00°
Space group I4mm (No. 107)
Symmetry-distinct sites (fractional):
Pr  0.000  0.000  0.000 [2 per cell]
Sm  0.000  0.000  0.353 [2 per cell]
Hf  0.000  0.500  0.178 [4 per cell]
Sb  0.000  0.000  0.551 [2 per cell]
Sb  0.000  0.000  0.805 [2 per cell]

***

# 7
A geometry-optimized PrHfSc structure, computed with PBE-GGA.

Cell: 7.074 7.074 7.074 Å, 90.00 90.00 90.00°
Space group F-43m (No. 216)
Symmetry-distinct sites (fractional):
Pr  0.000  0.000  0.000 [4 per cell]
Hf  0.250  0.250  0.750 [4 per cell]
Sc  0.250  0.250  0.250 [4 per cell]

Output
For the formation energy, the calculation gives 314.1 kJ/mol of formula units. The calculation puts the energy relative to the lowest polymorph listed for this composition at 199.1 meV/atom.

***

# 8
A geometry-optimized PrHfSc structure, computed with PBE-GGA.

Cell: 7.171 7.171 7.171 Å, 90.00 90.00 90.00°
Space group F-43m (No. 216)
Symmetry-distinct sites (fractional):
Pr  0.000  0.000  0.000 [4 per cell]
Hf  0.250  0.250  0.250 [4 per cell]
Sc  0.000  0.000  0.500 [4 per cell]

Output
For the formation energy, the calculation gives 256.5 kJ/mol of formula units. The calculation puts the energy relative to the lowest polymorph listed for this composition at 0.0 meV/atom.

***

# 9
A geometry-optimized PrHf3Si4 structure, computed with PBE-GGA.

Cell: 5.432 3.805 7.293 Å, 90.00 91.28 90.00°
Space group Pm (No. 6)
Symmetry-distinct sites (fractional):
Pr  0.000  0.000  0.000 [1 per cell]
Hf  0.256  0.000  0.499 [1 per cell]
Hf  0.495  0.500  0.153 [1 per cell]
Hf  0.747  0.500  0.637 [1 per cell]
Si  0.009  0.500  0.300 [1 per cell]
Si  0.243  0.500  0.765 [1 per cell]
Si  0.509  0.000  0.853 [1 per cell]
Si  0.728  0.000  0.371 [1 per cell]

***

# 10
A geometry-optimized PrHfSi structure, computed with PBE-GGA.

Cell: 6.706 6.706 6.706 Å, 90.00 90.00 90.00°
Space group F-43m (No. 216)
Symmetry-distinct sites (fractional):
Pr  0.000  0.000  0.000 [4 per cell]
Hf  0.000  0.000  0.500 [4 per cell]
Si  0.250  0.250  0.750 [4 per cell]

***

# 11
A geometry-optimized PrHfSi2 structure, computed with PBE-GGA.

Cell: 5.683 3.854 7.581 Å, 90.00 92.29 90.00°
Space group P2_1/m (No. 11)
Symmetry-distinct sites (fractional):
Pr  0.125  0.250  0.181 [2 per cell]
Hf  0.387  0.250  0.673 [2 per cell]
Si  0.148  0.750  0.472 [2 per cell]
Si  0.375  0.750  0.951 [2 per cell]

Output
The calculation puts the energy relative to the lowest polymorph listed for this composition at 82.0 meV/atom.

***

# 12
A geometry-optimized PrHfSi2 structure, computed with PBE-GGA.

Cell: 3.821 5.707 7.619 Å, 90.00 90.00 90.00°
Space group Pmc2_1 (No. 26)
Symmetry-distinct sites (fractional):
Pr  0.000  0.124  0.000 [2 per cell]
Hf  0.500  0.378  0.640 [2 per cell]
Si  0.000  0.398  0.363 [2 per cell]
Si  0.500  0.147  0.290 [2 per cell]

Output
The calculation puts the energy relative to the lowest polymorph listed for this composition at 89.6 meV/atom.

***

| no. | total energy (eV per atom) | density (g/cm³) | total magnetic moment (Bohr magnetons per cell) |
| --- | --- | --- | --- |
| 1 | -5.238 | 7.084 | 0.109 |
| 2 | -8.761 | 9.689 | 24.183 |
| 3 | -3.652 | 4.961 | 16.669 |
| 4 | -6.919 | 5.969 | 0.004 |
| 5 | -6.559 | 7.236 | 0.772 |
| 6 | -6.988 | 9.298 | 0.054 |
| 7 | -5.934 | 6.835 | 7.825 |
| 8 | -6.133 | 6.563 | 7.372 |
| 9 | -7.729 | 8.691 | 0.001 |
| 10 | -6.879 | 7.655 | 0.007 |
| 11 | -7.011 | 7.518 | 0.001 |
| 12 | -7.003 | 7.508 | 0.000 |